The following is a PBE calculation of Th2Ni7 after structural relaxation, from Alexandria.

The structure belongs to space group P6_3/mmc (No. 194); the cell edges are 4.9881, 4.9881 and 24.7550 Å and the angles 90.00°, 90.00° and 120.00°. The distinct sites, in fractional coordinates, are Th at (0.3333, 0.6667, 0.0322), Th at (0.3333, 0.6667, 0.1759), Ni at (0.0000, 0.0000, 0.0000), Ni at (0.0000, 0.0000, 0.1678), Ni at (0.1666, 0.3333, 0.7500), Ni at (0.1672, 0.3344, 0.5859) and Ni at (0.3333, 0.6667, 0.6678).

The magnetization is 0.000 μB/atom. As for the formation energy: -0.43 eV per atom. The calculation puts the total energy at -236.8 eV for the cell shown.